First-principles (GGA-PBE) data for YNi12Ge6 after structural relaxation, as listed in Alexandria.

a b c (Å): 6.6914 6.6914 6.6914
angles (deg): 105.26 105.26 105.26
Last column: nearest neighbours and their distance in Å.
Element x y z (fractional)
Ni 0.1571 0.4115 0.4115  3 Ge 2.41-2.46, 2 Ni 2.62
Ni 0.4115 0.4115 0.1571  3 Ge 2.41-2.46, 2 Ni 2.62
Ni 0.8818 0.1182 0.5000  4 Ge 2.30-2.33, 1 Ni 2.51
Ni 0.1182 0.5000 0.8818  4 Ge 2.30-2.33, 1 Ni 2.51
Ni 0.5000 0.8818 0.1182  4 Ge 2.30-2.33, 1 Ni 2.51
Ni 0.4115 0.1571 0.4115  3 Ge 2.41-2.46, 2 Ni 2.62
Ge 0.2603 0.2603 0.7047  7 Ni 2.30-2.46
Ni 0.8429 0.5885 0.5885  3 Ge 2.41-2.46, 2 Ni 2.62
Ge 0.2953 0.7397 0.7397  7 Ni 2.30-2.46
Ni 0.5885 0.8429 0.5885  3 Ge 2.41-2.46, 2 Ni 2.62
Ge 0.7397 0.2953 0.7397  7 Ni 2.30-2.46
Ge 0.2603 0.7047 0.2603  7 Ni 2.30-2.46
Ge 0.7397 0.7397 0.2953  7 Ni 2.30-2.46
Ni 0.5000 0.1182 0.8818  4 Ge 2.30-2.33, 1 Ni 2.51
Ni 0.5885 0.5885 0.8429  3 Ge 2.41-2.46, 2 Ni 2.62
Ni 0.1182 0.8818 0.5000  4 Ge 2.30-2.33, 1 Ni 2.51
Ni 0.8818 0.5000 0.1182  4 Ge 2.30-2.33, 1 Ni 2.51
Y 0.0000 0.0000 0.0000  6 Ni 3.04
Ge 0.7047 0.2603 0.2603  7 Ni 2.30-2.46

## Properties
E_form = -0.262 eV per atom
Final energy = -0.20989 hartree per atom


First-principles (GGA-PBE) data for Y2Ni5Ge3 after structural relaxation, as listed in Alexandria.

a b c (Å): 3.8856 3.8856 10.7057
angles (deg): 90.00 90.00 90.00
Last column: nearest neighbours and their distance in Å.
Element x y z (fractional)
Ni 0.5000 0.5000 0.0000  4 Ni 2.42
Ni 0.5000 0.5000 0.5000  8 Ge 2.54-2.75
Ge 0.5000 0.0000 0.6521  3 Ni 2.29-2.54, 2 Ge 2.54
Ge 0.0000 0.5000 0.3479  3 Ni 2.29-2.54, 2 Ge 2.54
Ni 0.0000 0.0000 0.0000  4 Ni 2.42
Ni 0.0000 0.5000 0.1344  1 Ge 2.29, 4 Ni 2.42
Ge 0.0000 0.0000 0.5000  4 Ge 2.54, 4 Ni 2.75
Ni 0.5000 0.0000 0.8656  1 Ge 2.29, 4 Ni 2.42
Y 0.0000 0.5000 0.7889  8 Ni 2.87-2.98, 4 Ge 3.11
Y 0.5000 0.0000 0.2111  8 Ni 2.87-2.98, 4 Ge 3.11

## Properties
E_form = -0.379 eV per atom
ΔE to the lowest computed polymorph = 208 meV per atom
Final energy = -0.21859 hartree per atom


First-principles (GGA-PBE) data for YNi3Ge after structural relaxation, as listed in Alexandria.

a b c (Å): 4.7261 4.7261 4.7261
angles (deg): 90.00 90.00 90.00
Last column: nearest neighbours and their distance in Å.
Element x y z (fractional)
Ge 0.5000 0.5000 0.5000  12 Ni 3.34
Ni 0.5000 0.0000 0.0000  2 Y 2.36
Y 0.0000 0.0000 0.0000  6 Ni 2.36
Ni 0.0000 0.0000 0.5000  2 Y 2.36
Ni 0.0000 0.5000 0.0000  2 Y 2.36

## Properties
E_form = 1.280 eV per atom
ΔE to the lowest computed polymorph = 1413 meV per atom
Final energy = -0.16189 hartree per atom


First-principles (GGA-PBE) data for YNi5Ge3 after structural relaxation, as listed in Alexandria.

a b c (Å): 3.7345 6.3352 11.7426
angles (deg): 90.00 90.00 107.14
Last column: nearest neighbours and their distance in Å.
Element x y z (fractional)
Ni 0.5516 0.1032 0.8559  4 Ge 2.37-2.38, 3 Ni 2.49-2.60
Ni 0.8058 0.6116 0.0660  4 Ge 2.27-2.46, 1 Ni 2.48
Y 0.1568 0.3136 0.2500  7 Ge 3.07-3.34, 8 Ni 3.38
Ge 0.6195 0.2390 0.4535  7 Ni 2.27-2.46
Y 0.8432 0.6864 0.7500  7 Ge 3.07-3.34, 8 Ni 3.38
Ni 0.0000 0.0000 0.5000  4 Ge 2.42, 6 Ni 2.48-2.60
Ni 0.5516 0.1032 0.6441  4 Ge 2.37-2.38, 3 Ni 2.49-2.60
Ge 0.3805 0.7610 0.9535  7 Ni 2.27-2.46
Ni 0.1942 0.3884 0.5660  4 Ge 2.27-2.46, 1 Ni 2.48
Ni 0.0000 0.0000 0.0000  4 Ge 2.42, 6 Ni 2.48-2.60
Ge 0.1147 0.2295 0.7500  6 Ni 2.37
Ge 0.8853 0.7705 0.2500  6 Ni 2.37
Ni 0.8058 0.6116 0.4340  4 Ge 2.27-2.46, 1 Ni 2.48
Ge 0.6195 0.2390 0.0465  7 Ni 2.27-2.46
Ni 0.1942 0.3884 0.9340  4 Ge 2.27-2.46, 1 Ni 2.48
Ge 0.3805 0.7610 0.5465  7 Ni 2.27-2.46
Ni 0.4484 0.8968 0.3559  4 Ge 2.37-2.38, 3 Ni 2.49-2.60
Ni 0.4484 0.8968 0.1441  4 Ge 2.37-2.38, 3 Ni 2.49-2.60

## Properties
E_form = -0.478 eV per atom
ΔE to the lowest computed polymorph = 56 meV per atom
Final energy = -0.21857 hartree per atom


First-principles (GGA-PBE) data for YNiGe2 after structural relaxation, as listed in Alexandria.

a b c (Å): 4.1294 6.8326 10.2811
angles (deg): 90.00 90.00 90.00
Last column: nearest neighbours and their distance in Å.
Element x y z (fractional)
Ge 0.7500 0.6397 0.3380  2 Ni 2.30-2.41
Ge 0.7500 0.1397 0.1620  2 Ni 2.30-2.41
Ge 0.2500 0.8603 0.8380  2 Ni 2.30-2.41
Ge 0.7500 0.6574 0.9347  3 Ni 2.38-2.42
Ni 0.2500 0.5099 0.8623  5 Ge 2.30-2.42
Ni 0.7500 0.9901 0.3623  5 Ge 2.30-2.42
Ge 0.7500 0.1574 0.5653  3 Ni 2.38-2.42
Ge 0.2500 0.8426 0.4347  3 Ni 2.38-2.42
Y 0.2500 0.3227 0.3679  9 Ge 3.01-3.35, 4 Ni 3.07-3.34
Ge 0.2500 0.3603 0.6620  2 Ni 2.30-2.41
Y 0.7500 0.6773 0.6321  9 Ge 3.01-3.35, 4 Ni 3.07-3.34
Ni 0.7500 0.4901 0.1377  5 Ge 2.30-2.42
Ge 0.2500 0.3426 0.0653  3 Ni 2.38-2.42
Y 0.2500 0.8227 0.1321  9 Ge 3.01-3.35, 4 Ni 3.07-3.34
Y 0.7500 0.1773 0.8679  9 Ge 3.01-3.35, 4 Ni 3.07-3.34
Ni 0.2500 0.0099 0.6377  5 Ge 2.30-2.42

## Properties
E_form = -0.688 eV per atom
Final energy = -0.22261 hartree per atom


First-principles (GGA-PBE) data for YNi4Ge2 after structural relaxation, as listed in Alexandria.

a b c (Å): 3.7538 7.3090 7.3090
angles (deg): 90.00 90.00 90.00
Last column: nearest neighbours and their distance in Å.
Element x y z (fractional)
Ni 0.0000 0.3446 0.0860  3 Ge 2.40-2.42, 6 Ni 2.60-2.67
Ge 0.0000 0.2202 0.7798  6 Ni 2.40-2.42
Ni 0.0000 0.9140 0.6554  3 Ge 2.40-2.42, 6 Ni 2.60-2.67
Ni 0.5000 0.4140 0.8446  3 Ge 2.40-2.42, 6 Ni 2.60-2.67
Ge 0.5000 0.7202 0.7202  6 Ni 2.40-2.42
Ni 0.0000 0.0860 0.3446  3 Ge 2.40-2.42, 6 Ni 2.60-2.67
Ni 0.5000 0.5860 0.1554  3 Ge 2.40-2.42, 6 Ni 2.60-2.67
Y 0.0000 0.5000 0.5000  6 Ge 2.89-2.95, 12 Ni 3.20-3.23
Ni 0.5000 0.1554 0.5860  3 Ge 2.40-2.42, 6 Ni 2.60-2.67
Y 0.5000 0.0000 0.0000  6 Ge 2.89-2.95, 12 Ni 3.20-3.23
Ni 0.5000 0.8446 0.4140  3 Ge 2.40-2.42, 6 Ni 2.60-2.67
Ge 0.0000 0.7798 0.2202  6 Ni 2.40-2.42
Ge 0.5000 0.2798 0.2798  6 Ni 2.40-2.42
Ni 0.0000 0.6554 0.9140  3 Ge 2.40-2.42, 6 Ni 2.60-2.67

## Properties
E_form = -0.528 eV per atom
ΔE to the lowest computed polymorph = 0 meV per atom
Final energy = -0.22322 hartree per atom


First-principles (GGA-PBE) data for YZn2Ni4Ge after structural relaxation, as listed in Alexandria.

a b c (Å): 4.0965 4.0965 8.4079
angles (deg): 75.90 75.90 60.00
Last column: nearest neighbours and their distance in Å.
Element x y z (fractional)
Ni 0.8673 0.8673 0.3981  3 Ge 2.50, 4 Zn 2.61-2.75, 3 Ni 2.79
Ni 0.4048 0.4048 0.7856  1 Ge 2.30, 3 Zn 2.40
Zn 0.7538 0.7538 0.7387  6 Ni 2.40-2.61
Y 0.0000 0.0000 0.0000  8 Ni 2.93-3.21, 6 Zn 3.17
Zn 0.2462 0.2462 0.2613  6 Ni 2.40-2.61
Ni 0.1327 0.1327 0.6019  3 Ge 2.50, 4 Zn 2.61-2.75, 3 Ni 2.79
Ni 0.5952 0.5952 0.2144  1 Ge 2.30, 3 Zn 2.40
Ge 0.5000 0.5000 0.5000  8 Ni 2.30-2.50

## Properties
E_form = -0.301 eV per atom
Final energy = -0.17989 hartree per atom


First-principles (GGA-PBE) data for YZnNi5Ge2 after structural relaxation, as listed in Alexandria.

a b c (Å): 3.9748 3.9748 8.5175
angles (deg): 90.00 90.00 90.00
Last column: nearest neighbours and their distance in Å.
Element x y z (fractional)
Y 0.0000 0.0000 0.5000  12 Ni 2.76-2.81
Ni 0.5000 0.0000 0.2755  2 Ge 2.30
Ge 0.5000 0.5000 0.8597  4 Ni 2.30, 1 Ge 2.39
Ni 0.0000 0.5000 0.7245  2 Ge 2.30
Ni 0.0000 0.5000 0.2755  2 Ge 2.30
Ni 0.5000 0.5000 0.5000  8 Ni 2.76, 4 Y 2.81, 2 Ge 3.06
Ge 0.5000 0.5000 0.1403  4 Ni 2.30, 1 Ge 2.39
Zn 0.0000 0.0000 0.0000  8 Ge 3.05, 8 Ni 3.08
Ni 0.5000 0.0000 0.7245  2 Ge 2.30

## Properties
E_form = -0.108 eV per atom
Final energy = -0.19132 hartree per atom


First-principles (GGA-PBE) data for Y2Zn3Ni12Ge after structural relaxation, as listed in Alexandria.

a b c (Å): 9.2059 9.2059 9.2059
angles (deg): 38.05 38.05 38.05
Last column: nearest neighbours and their distance in Å.
Element x y z (fractional)
Zn 0.0000 0.0000 0.5000  6 Ni 2.34-2.55
Y 0.6485 0.6485 0.6485  6 Ni 2.85-2.90
Ni 0.0829 0.6327 0.0829  1 Ge 2.32, 2 Ni 2.38, 1 Zn 2.55
Ni 0.3673 0.9171 0.9171  1 Ge 2.32, 2 Ni 2.38, 1 Zn 2.55
Ni 0.5793 0.1908 0.5793  4 Ni 2.33-2.38, 2 Zn 2.34
Ge 0.0000 0.0000 0.0000  6 Ni 2.32
Ni 0.5793 0.5793 0.1908  4 Ni 2.33-2.38, 2 Zn 2.34
Ni 0.6327 0.0829 0.0829  1 Ge 2.32, 2 Ni 2.38, 1 Zn 2.55
Ni 0.4207 0.4207 0.8092  4 Ni 2.33-2.38, 2 Zn 2.34
Zn 0.5000 0.0000 0.0000  6 Ni 2.34-2.55
Ni 0.0829 0.0829 0.6327  1 Ge 2.32, 2 Ni 2.38, 1 Zn 2.55
Ni 0.9171 0.9171 0.3673  1 Ge 2.32, 2 Ni 2.38, 1 Zn 2.55
Ni 0.8092 0.4207 0.4207  4 Ni 2.33-2.38, 2 Zn 2.34
Ni 0.1908 0.5793 0.5793  4 Ni 2.33-2.38, 2 Zn 2.34
Ni 0.4207 0.8092 0.4207  4 Ni 2.33-2.38, 2 Zn 2.34
Y 0.3515 0.3515 0.3515  6 Ni 2.85-2.90
Zn 0.0000 0.5000 0.0000  6 Ni 2.34-2.55
Ni 0.9171 0.3673 0.9171  1 Ge 2.32, 2 Ni 2.38, 1 Zn 2.55

## Properties
E_form = 0.026 eV per atom
Final energy = -0.18432 hartree per atom


First-principles (GGA-PBE) data for Y3Zn2Ni9Ge after structural relaxation, as listed in Alexandria.

a b c (Å): 5.9696 5.9696 8.4856
angles (deg): 90.00 90.00 120.00
Last column: nearest neighbours and their distance in Å.
Element x y z (fractional)
Ni 0.8665 0.7329 0.7173  1 Zn 2.22, 1 Ge 2.30, 2 Ni 2.39
Y 0.6667 0.3333 0.2903  9 Ni 3.01
Ni 0.2671 0.1335 0.7173  1 Zn 2.22, 1 Ge 2.30, 2 Ni 2.39
Ni 0.1335 0.2671 0.2827  1 Zn 2.22, 1 Ge 2.30, 2 Ni 2.39
Y 0.0000 0.0000 0.0000  12 Ni 2.77-2.98
Zn 0.3333 0.6667 0.1861  6 Ni 2.22-2.34
Ni 0.8665 0.1335 0.7173  1 Zn 2.22, 1 Ge 2.30, 2 Ni 2.39
Y 0.3333 0.6667 0.7097  9 Ni 3.01
Ge 0.0000 0.0000 0.5000  6 Ni 2.30
Ni 0.7329 0.8665 0.2827  1 Zn 2.22, 1 Ge 2.30, 2 Ni 2.39
Ni 0.5000 0.5000 0.0000  2 Zn 2.34
Ni 0.5000 0.0000 0.0000  2 Zn 2.34
Ni 0.1335 0.8665 0.2827  1 Zn 2.22, 1 Ge 2.30, 2 Ni 2.39
Ni 0.0000 0.5000 0.0000  2 Zn 2.34
Zn 0.6667 0.3333 0.8139  6 Ni 2.22-2.34

## Properties
E_form = -0.040 eV per atom
Final energy = -0.19402 hartree per atom


What is the final energy in the ninth record? -0.18432 hartree per atom